1.
VASP calculation (PBE) on YThP2 after structural relaxation.

Properties
The value obtained for the volume is 24.04 Å³ per atom. As for the space group: No. 194. The calculation puts the final energy at -61.73 eV per cell. Its energy relative to the lowest polymorph listed for this composition is 53 meV/atom. The calculated formation energy is -1.540 eV per atom.

Cell and atoms, written as POSCAR:
```
YThP2
1.0
4.070 0.000 0.000
-2.035 3.525 0.000
0.000 0.000 13.403
Y P Th
2 4 2
Cartesian
0.000 2.350 10.052 Y
2.035 1.175 3.351 Y
2.035 1.175 11.712 P
0.000 2.350 1.691 P
2.035 1.175 8.393 P
0.000 2.350 5.010 P
0.000 0.000 0.000 Th
0.000 0.000 6.701 Th
```

2.
VASP calculation (PBE) on NaCa2DyCl8 after structural relaxation.

Properties
The value obtained for the volume is 28.96 Å³ per atom. As for the space group: No. 10. The calculation puts the final energy at -51.75 eV per cell. The formation energy (no corrections) comes out at -27.057 eV per formula unit.

Cell and atoms, written as POSCAR:
```
NaCa2DyCl8
1.0
6.486 -0.038 -0.004
-0.002 6.386 -0.007
0.005 0.009 8.389
Cl Ca Na Dy
8 2 1 1
Cartesian
5.287 1.302 1.930 Cl
5.290 1.307 6.449 Cl
1.203 5.055 6.447 Cl
2.048 1.874 4.191 Cl
2.006 1.807 -0.003 Cl
4.484 4.550 8.381 Cl
1.200 5.050 1.929 Cl
4.442 4.483 4.187 Cl
3.244 3.176 2.161 Ca
3.246 3.181 6.217 Ca
0.003 0.005 4.195 Na
0.000 0.000 0.000 Dy
```

3.
VASP calculation (PBE) on Pa2AsS after structural relaxation.

Properties
The value obtained for the volume is 22.53 Å³ per atom. As for the space group: No. 166. The calculation puts the final energy at -33.13 eV per cell. The formation energy (no corrections) comes out at -5.358 eV per formula unit. Its energy relative to the lowest polymorph listed for this composition is 0 meV/atom.

Cell and atoms, written as POSCAR:
```
Pa2AsS
1.0
-1.264 1.665 3.466
1.772 -1.013 3.496
4.346 4.945 1.573
As Pa S
1 2 1
Cartesian
0.000 0.000 0.000 As
1.295 1.491 2.119 Pa
3.560 4.106 6.416 Pa
2.427 2.799 4.267 S
```